1.
First-principles (PBE) data for an optimized crystal structure of Tb4CeTm8, as listed in Alexandria.

Values from the calculation:
Total magnetic moment: 0.0054 μB per atom
ΔH_f (0 K): 0.1832 eV per atom
Crystal system: trigonal
Space group: R-3m, No. 166
Total energy: -4.45 eV per atom

Unit cell a=9.7569 b=9.7569 c=9.7569 alpha=43.40 beta=43.40 gamma=43.40
Closest atoms and distances in Å follow each position.
Atoms (fractional coordinates):
Tb: 0.0000 0.0000 0.0000  6 Tm 3.34, 6 Tb 3.61
Tb: 0.0000 0.5000 0.5000  6 Tm 3.53-3.65, 6 Tb 3.61
Tb: 0.5000 0.0000 0.5000  6 Tm 3.53-3.65, 6 Tb 3.61
Tb: 0.5000 0.5000 0.0000  6 Tm 3.53-3.65, 6 Tb 3.61
Ce: 0.5000 0.5000 0.5000  6 Tm 2.82
Tm: 0.1956 0.7458 0.7458  1 Ce 2.82
Tm: 0.2200 0.2200 0.2200  9 Tm 3.59-3.62, 3 Tb 3.65
Tm: 0.2542 0.2542 0.8044  1 Ce 2.82
Tm: 0.2542 0.8044 0.2542  1 Ce 2.82
Tm: 0.7458 0.1956 0.7458  1 Ce 2.82
Tm: 0.7458 0.7458 0.1956  1 Ce 2.82
Tm: 0.7800 0.7800 0.7800  9 Tm 3.59-3.62, 3 Tb 3.65
Tm: 0.8044 0.2542 0.2542  1 Ce 2.82


2.
First-principles (PBE) data for an optimized crystal structure of Tb8CeTm6, as listed in Alexandria.

Values from the calculation:
Total magnetic moment: 0.0768 μB per atom
ΔH_f (0 K): 0.1341 eV per atom
Crystal system: trigonal
Space group: R-3, No. 148
Total energy: -4.52 eV per atom

Unit cell a=8.5653 b=8.5653 c=8.5653 alpha=62.87 beta=62.87 gamma=62.87
Closest atoms and distances in Å follow each position.
Atoms (fractional coordinates):
Tb: 0.0774 0.0774 0.0774  4 Tb 3.18-3.37, 3 Tm 3.33
Tb: 0.2166 0.6129 0.2536  3 Tm 3.37-3.69, 5 Tb 3.37-3.41, 1 Ce 3.46
Tb: 0.2536 0.2166 0.6129  3 Tm 3.37-3.69, 5 Tb 3.37-3.41, 1 Ce 3.46
Tb: 0.3871 0.7464 0.7834  3 Tm 3.37-3.69, 5 Tb 3.37-3.41, 1 Ce 3.46
Tb: 0.6129 0.2536 0.2166  3 Tm 3.37-3.69, 5 Tb 3.37-3.41, 1 Ce 3.46
Tb: 0.7464 0.7834 0.3871  3 Tm 3.37-3.69, 5 Tb 3.37-3.41, 1 Ce 3.46
Tb: 0.7834 0.3871 0.7464  3 Tm 3.37-3.69, 5 Tb 3.37-3.41, 1 Ce 3.46
Tb: 0.9226 0.9226 0.9226  4 Tb 3.18-3.37, 3 Tm 3.33
Ce: 0.5000 0.5000 0.5000  6 Tm 3.42, 6 Tb 3.46
Tm: 0.0382 0.6017 0.7386  4 Tb 3.33-3.69, 1 Ce 3.42, 4 Tm 3.45-3.71
Tm: 0.2614 0.9618 0.3983  4 Tb 3.33-3.69, 1 Ce 3.42, 4 Tm 3.45-3.71
Tm: 0.3983 0.2614 0.9618  4 Tb 3.33-3.69, 1 Ce 3.42, 4 Tm 3.45-3.71
Tm: 0.6017 0.7386 0.0382  4 Tb 3.33-3.69, 1 Ce 3.42, 4 Tm 3.45-3.71
Tm: 0.7386 0.0382 0.6017  4 Tb 3.33-3.69, 1 Ce 3.42, 4 Tm 3.45-3.71
Tm: 0.9618 0.3983 0.2614  4 Tb 3.33-3.69, 1 Ce 3.42, 4 Tm 3.45-3.71


3.
First-principles (PBE) data for an optimized crystal structure of Tb12CeTm7, as listed in Alexandria.

Values from the calculation:
Total magnetic moment: 0.2619 μB per atom
ΔH_f (0 K): 0.1107 eV per atom
Crystal system: trigonal
Space group: R-3m, No. 166
Polymorph energy (0 for the lowest one): 0 kJ/mol of formula units
Total energy: -4.53 eV per atom

Unit cell a=8.6926 b=8.6926 c=8.6926 alpha=98.30 beta=98.30 gamma=98.30
Closest atoms and distances in Å follow each position.
Atoms (fractional coordinates):
Tb: 0.0000 0.2621 0.7379  6 Tb 3.35-3.53, 5 Tm 3.42-3.52
Tb: 0.0000 0.7379 0.2621  6 Tb 3.35-3.53, 5 Tm 3.42-3.52
Tb: 0.1414 0.1414 0.4102  6 Tb 3.35-3.54, 3 Tm 3.57-3.68
Tb: 0.1414 0.4102 0.1414  6 Tb 3.35-3.54, 3 Tm 3.57-3.68
Tb: 0.2621 0.0000 0.7379  6 Tb 3.35-3.53, 5 Tm 3.42-3.52
Tb: 0.2621 0.7379 0.0000  6 Tb 3.35-3.53, 5 Tm 3.42-3.52
Tb: 0.4102 0.1414 0.1414  6 Tb 3.35-3.54, 3 Tm 3.57-3.68
Tb: 0.5898 0.8586 0.8586  6 Tb 3.35-3.54, 3 Tm 3.57-3.68
Tb: 0.7379 0.0000 0.2621  6 Tb 3.35-3.53, 5 Tm 3.42-3.52
Tb: 0.7379 0.2621 0.0000  6 Tb 3.35-3.53, 5 Tm 3.42-3.52
Tb: 0.8586 0.5898 0.8586  6 Tb 3.35-3.54, 3 Tm 3.57-3.68
Tb: 0.8586 0.8586 0.5898  6 Tb 3.35-3.54, 3 Tm 3.57-3.68
Ce: 0.5000 0.5000 0.5000  6 Tm 3.40
Tm: 0.0000 0.0000 0.0000  12 Tb 3.45-3.57
Tm: 0.1618 0.6029 0.6029  3 Tm 3.24-3.53, 1 Ce 3.40, 4 Tb 3.42-3.52
Tm: 0.3971 0.3971 0.8382  3 Tm 3.24-3.53, 1 Ce 3.40, 4 Tb 3.42-3.52
Tm: 0.3971 0.8382 0.3971  3 Tm 3.24-3.53, 1 Ce 3.40, 4 Tb 3.42-3.52
Tm: 0.6029 0.1618 0.6029  3 Tm 3.24-3.53, 1 Ce 3.40, 4 Tb 3.42-3.52
Tm: 0.6029 0.6029 0.1618  3 Tm 3.24-3.53, 1 Ce 3.40, 4 Tb 3.42-3.52
Tm: 0.8382 0.3971 0.3971  3 Tm 3.24-3.53, 1 Ce 3.40, 4 Tb 3.42-3.52


4.
First-principles (PBE) data for an optimized crystal structure of Tb3CeTm, as listed in Alexandria.

Values from the calculation:
Total magnetic moment: 0.0001 μB per atom
ΔH_f (0 K): 0.1789 eV per atom
Crystal system: monoclinic
Space group: C2/m, No. 12
Polymorph energy (0 for the lowest one): 0 kJ/mol of formula units
Total energy: -4.68 eV per atom

Unit cell a=6.0939 b=6.0939 c=10.6892 alpha=90.03 beta=90.03 gamma=128.05
Closest atoms and distances in Å follow each position.
Atoms (fractional coordinates):
Tb: 0.9998 0.9998 0.1699  5 Tb 3.49-3.63, 4 Tm 3.66, 2 Ce 3.78
Tb: 0.0002 0.0002 0.8301  5 Tb 3.49-3.63, 4 Tm 3.66, 2 Ce 3.78
Tb: 0.3462 0.6533 0.3089  3 Ce 3.19-3.38, 1 Tm 3.30, 5 Tb 3.37-3.49
Tb: 0.3467 0.6538 0.6911  3 Ce 3.19-3.38, 1 Tm 3.30, 5 Tb 3.37-3.49
Tb: 0.6533 0.3462 0.3089  3 Ce 3.19-3.38, 1 Tm 3.30, 5 Tb 3.37-3.49
Tb: 0.6538 0.3467 0.6911  3 Ce 3.19-3.38, 1 Tm 3.30, 5 Tb 3.37-3.49
Ce: 0.1232 0.8768 0.5000  1 Ce 2.70
Ce: 0.8768 0.1232 0.5000  1 Ce 2.70
Tm: 0.3430 0.6570 0.0000  6 Tb 3.30-3.66, 3 Tm 3.36-3.44
Tm: 0.6570 0.3430 0.0000  6 Tb 3.30-3.66, 3 Tm 3.36-3.44


5.
First-principles (PBE) data for an optimized crystal structure of Tb4CeTm, as listed in Alexandria.

Values from the calculation:
Total magnetic moment: 0.1385 μB per atom
ΔH_f (0 K): 0.0476 eV per atom
Crystal system: monoclinic
Space group: C2/m, No. 12
Polymorph energy (0 for the lowest one): 0 kJ/mol of formula units
Total energy: -4.77 eV per atom

Unit cell a=9.3605 b=9.3605 c=6.1263 alpha=108.95 beta=108.95 gamma=21.77
Closest atoms and distances in Å follow each position.
Atoms (fractional coordinates):
Tb: 0.1650 0.1650 0.3339  9 Tb 3.50-3.58, 1 Ce 3.50, 2 Tm 3.52
Tb: 0.3342 0.3342 0.1716  9 Tb 3.50-3.58, 2 Ce 3.52, 1 Tm 3.54
Tb: 0.6658 0.6658 0.8284  9 Tb 3.50-3.58, 2 Ce 3.52, 1 Tm 3.54
Tb: 0.8350 0.8350 0.6661  9 Tb 3.50-3.58, 1 Ce 3.50, 2 Tm 3.52
Ce: 0.0000 0.0000 0.5000  6 Tb 3.50-3.52, 2 Ce 3.53, 4 Tm 3.54
Tm: 0.5000 0.5000 0.0000  6 Tb 3.52-3.54, 2 Tm 3.53, 4 Ce 3.54


6.
First-principles (PBE) data for an optimized crystal structure of TbCeTm2, as listed in Alexandria.

Values from the calculation:
Total magnetic moment: 0.1703 μB per atom
ΔH_f (0 K): 0.1439 eV per atom
Crystal system: cubic
Space group: Fm-3m, No. 225
Polymorph energy (0 for the lowest one): 40 kJ/mol of formula units
Total energy: -4.73 eV per atom

Unit cell a=5.6081 b=5.6081 c=5.6081 alpha=60.00 beta=60.00 gamma=60.00
Closest atoms and distances in Å follow each position.
Atoms (fractional coordinates):
Tb: 0.0000 0.0000 0.0000  8 Tm 3.43
Ce: 0.5000 0.5000 0.5000  8 Tm 3.43
Tm: 0.2500 0.2500 0.2500  4 Tb 3.43, 4 Ce 3.43
Tm: 0.7500 0.7500 0.7500  4 Tb 3.43, 4 Ce 3.43